[1]
Below is a relaxed structure of U2Si3TcIr4, with properties calculated at the PBE-GGA level.

Properties
As for the total magnetization: 3.11 Bohr magnetons per cell. For the density, the calculation gives 13.96 g cm⁻³. Its total energy is -9.0799 eV/atom. The value obtained for the formation energy (no corrections) is -614 meV per atom.

Cell: 4.0401 4.0401 10.4024 Å, 90.00 90.00 90.00°
Site moments in Bohr magnetons follow the coordinates.
Fractional coordinates of all 10 atoms:
U  0.5000  0.0000  0.2446  1.49
U  0.0000  0.5000  0.7554  1.49
Ir  0.0000  0.5000  0.3568  -0.05
Ir  0.5000  0.5000  0.0000  -0.06
Ir  0.5000  0.0000  0.6432  -0.05
Ir  0.0000  0.0000  0.0000  -0.07
Si  0.0000  0.5000  0.1289  -0.01
Si  0.5000  0.0000  0.8711  -0.01
Si  0.0000  0.0000  0.5000  -0.01
Tc  0.5000  0.5000  0.5000  0.22

***

[2]
Below is a relaxed structure of VCoSeBr2, with properties calculated at the PBE-GGA level.

Properties
As for the total magnetization: 3.05 Bohr magnetons per cell. The value obtained for the polymorph energy (0 for the lowest one) is 0 meV per atom. For the density, the calculation gives 4.63 g cm⁻³. Its total energy is -4.1339 eV/atom. The value obtained for the formation energy (no corrections) is 477 meV per atom.

Cell: 5.1139 5.1139 4.7762 Å, 90.00 90.00 90.00°
Site moments in Bohr magnetons follow the coordinates.
Fractional coordinates of all 5 atoms:
Se  0.0000  0.0000  0.5000  -0.07
V  0.0000  0.0000  0.0000  0.43
Br  0.0000  0.5000  0.0000  0.03
Br  0.5000  0.0000  0.0000  0.03
Co  0.5000  0.5000  0.5000  2.34